Entry 1:
First-principles (PBE-GGA) data for crystalline Na2CeTmO4 at its relaxed geometry, as listed in Alexandria.

The space group is P2/m (No. 10) and the conventional cell measures 5.9588, 3.4718 and 6.0454 Å, with angles of 90.00, 109.79 and 90.00 degrees. The distinct sites, in fractional coordinates, are Na at (0.0000, 0.0000, 0.0000), Na at (0.0000, 0.5000, 0.5000), Ce at (0.5000, 0.0000, 0.5000), Tm at (0.5000, 0.5000, 0.0000), O at (0.2856, 0.5000, 0.2478) and O at (0.2906, 0.0000, 0.7741).

As for the crystal system: monoclinic. The calculation puts the volume at 117.7 Å³/cell. The formation energy from raw total energies is -2704 meV per atom.


Entry 2:
First-principles (PBE-GGA) data for crystalline NaCe2UO8 at its relaxed geometry, as listed in Alexandria.

The space group is Pmmm (No. 47) and the conventional cell measures 3.9753, 5.3214 and 7.6343 Å, with angles of 90.00, 90.00 and 90.00 degrees. The distinct sites, in fractional coordinates, are Na at (0.0000, 0.0000, 0.0000), Ce at (0.5000, 0.5000, 0.2505), U at (0.0000, 0.0000, 0.5000), O at (0.0000, 0.2482, 0.2862), O at (0.5000, 0.2344, 0.5000) and O at (0.5000, 0.2766, 0.0000).

As for the crystal system: orthorhombic. The calculation puts the volume at 161.5 Å³/cell. The formation energy from raw total energies is -2879 meV per atom.


Entry 3:
First-principles (PBE-GGA) data for crystalline NaCeUO6 at its relaxed geometry, as listed in Alexandria.

The space group is P312 (No. 149) and the conventional cell measures 5.6013, 5.6013 and 4.9216 Å, with angles of 90.00, 90.00 and 120.00 degrees. The distinct sites, in fractional coordinates, are Na at (0.0000, 0.0000, 0.0000), Ce at (0.6667, 0.3333, 0.5000), U at (0.3333, 0.6667, 0.0000) and O at (0.0191, 0.3738, 0.2378).

As for the crystal system: trigonal. The calculation puts the volume at 133.7 Å³/cell. The formation energy from raw total energies is -2670 meV per atom.